Density functional theory data (GGA-PBE) for a relaxed ReSb2Os crystal.

Values from the calculation:
The energy relative to the lowest polymorph listed for this composition is 311 meV/atom. The calculated volume is 70.51 Å³ per cell. As for the calculated total energy: -0.542 Ry per atom. For the density of states at the Fermi level, the calculation gives 1.9 states/eV/f.u. The value obtained for the raw formation energy is 600 meV per atom. As for the spin magnetization: 0.00 μB/atom.

```
ReSb2Os
1.0
0.000 3.279 3.279
3.279 0.000 3.279
3.279 3.279 0.000
Re Sb Os
1 2 1
direct
0.000 0.000 0.000
0.250 0.250 0.250
0.750 0.750 0.750
0.500 0.500 0.500
```